Entry 1:
NaLa6S8 | GGA-PBE | optimized geometry

total DFT energy (no corrections)	-6.3197	eV/atom
ΔE_f (raw)	-30.89	eV per formula unit

abc: 8.2666 8.2666 8.2666
angles: 60.00 60.00 60.00
Atoms (fractional coordinates):
Na (0.0000, 0.0000, 0.0000)
La (0.0000, 0.0000, 0.5000)
La (0.0000, 0.5000, 0.0000)
La (0.0000, 0.5000, 0.5000)
La (0.5000, 0.0000, 0.0000)
La (0.5000, 0.0000, 0.5000)
La (0.5000, 0.5000, 0.0000)
S (0.2472, 0.2472, 0.7528)
S (0.2472, 0.7528, 0.2472)
S (0.2472, 0.7528, 0.7528)
S (0.2500, 0.2500, 0.2500)
S (0.7500, 0.7500, 0.7500)
S (0.7528, 0.2472, 0.2472)
S (0.7528, 0.2472, 0.7528)
S (0.7528, 0.7528, 0.2472)

Entry 2:
NaLa3S4 | GGA-PBE | optimized geometry

total DFT energy (no corrections)	-6.1026	eV/atom
ΔE_f (raw)	-16.21	eV per formula unit

abc: 5.8545 5.8545 5.8545
angles: 90.00 90.00 90.00
Atoms (fractional coordinates):
Na (0.0000, 0.0000, 0.0000)
La (0.0000, 0.5000, 0.5000)
La (0.5000, 0.0000, 0.5000)
La (0.5000, 0.5000, 0.0000)
S (0.0000, 0.0000, 0.5000)
S (0.0000, 0.5000, 0.0000)
S (0.5000, 0.0000, 0.0000)
S (0.5000, 0.5000, 0.5000)

Entry 3:
Na2LaS2 | GGA-PBE | optimized geometry

total DFT energy (no corrections)	-4.3888	eV/atom
ΔE_f (raw)	-6.12	eV per formula unit

abc: 7.7955 7.7955 4.0221
angles: 90.00 90.00 90.00
Atoms (fractional coordinates):
Na (0.1312, 0.3688, 0.0000)
Na (0.3688, 0.8688, 0.0000)
Na (0.6312, 0.1312, 0.0000)
Na (0.8688, 0.6312, 0.0000)
La (0.0000, 0.0000, 0.5000)
La (0.5000, 0.5000, 0.5000)
S (0.1778, 0.6778, 0.5000)
S (0.3222, 0.1778, 0.5000)
S (0.6778, 0.8222, 0.5000)
S (0.8222, 0.3222, 0.5000)

Entry 4:
NaLaS3 | GGA-PBE | optimized geometry

total DFT energy (no corrections)	-4.3016	eV/atom
ΔE_f (raw)	-2.88	eV per formula unit

abc: 4.8504 4.8504 4.8504
angles: 90.00 90.00 90.00
Atoms (fractional coordinates):
Na (0.0000, 0.0000, 0.0000)
La (0.5000, 0.5000, 0.5000)
S (0.0000, 0.0000, 0.5000)
S (0.0000, 0.5000, 0.0000)
S (0.5000, 0.0000, 0.0000)

Entry 5:
NaLaS14 | GGA-PBE | optimized geometry

total DFT energy (no corrections)	-4.2818	eV/atom
ΔE_f (raw)	-4.48	eV per formula unit

abc: 10.2494 10.2494 13.2468
angles: 119.07 119.07 55.66
Atoms (fractional coordinates):
Na (0.2164, 0.7836, 0.7500)
Na (0.7836, 0.2164, 0.2500)
La (0.5000, 0.5000, 0.0000)
La (0.5000, 0.5000, 0.5000)
S (0.0087, 0.1558, 0.6489)
S (0.0263, 0.1958, 0.0689)
S (0.1194, 0.6253, 0.3841)
S (0.1477, 0.6323, 0.8460)
S (0.1558, 0.0087, 0.1489)
S (0.1958, 0.0263, 0.5689)
S (0.2254, 0.6500, 0.1707)
S (0.2771, 0.4850, 0.5701)
S (0.3215, 0.4116, 0.1736)
S (0.3500, 0.7746, 0.3293)
S (0.3677, 0.8523, 0.6540)
S (0.3747, 0.8806, 0.1159)
S (0.4116, 0.3215, 0.6736)
S (0.4850, 0.2771, 0.0701)
S (0.5150, 0.7229, 0.9299)
S (0.5884, 0.6785, 0.3264)
S (0.6253, 0.1194, 0.8841)
S (0.6323, 0.1477, 0.3460)
S (0.6500, 0.2254, 0.6707)
S (0.6785, 0.5884, 0.8264)
S (0.7229, 0.5150, 0.4299)
S (0.7746, 0.3500, 0.8293)
S (0.8042, 0.9737, 0.4311)
S (0.8442, 0.9913, 0.8511)
S (0.8523, 0.3677, 0.1540)
S (0.8806, 0.3747, 0.6159)
S (0.9737, 0.8042, 0.9311)
S (0.9913, 0.8442, 0.3511)

Entry 6:
Na3La2S4 | GGA-PBE | optimized geometry

total DFT energy (no corrections)	-4.9889	eV/atom
ΔE_f (raw)	-14.58	eV per formula unit

abc: 4.2018 4.2018 16.6484
angles: 90.03 90.03 60.00
Atoms (fractional coordinates):
Na (0.0000, 0.0000, 0.0000)
Na (0.3339, 0.3339, 0.4003)
Na (0.6661, 0.6661, 0.5997)
La (0.3328, 0.3328, 0.7993)
La (0.6672, 0.6672, 0.2007)
S (0.0007, 0.0007, 0.2969)
S (0.3337, 0.3337, 0.1067)
S (0.6663, 0.6663, 0.8933)
S (0.9993, 0.9993, 0.7031)

Entry 7:
Na3La2ScS6 | GGA-PBE | optimized geometry

total DFT energy (no corrections)	-5.5379	eV/atom
ΔE_f (raw)	-21.55	eV per formula unit

abc: 7.0774 7.0774 7.0628
angles: 99.61 99.61 120.04
Atoms (fractional coordinates):
Na (0.0000, 0.0000, 0.0000)
Na (0.3366, 0.6634, 0.0000)
Na (0.6634, 0.3366, 0.0000)
La (0.1669, 0.8331, 0.5000)
La (0.8331, 0.1669, 0.5000)
Sc (0.5000, 0.5000, 0.5000)
S (0.1142, 0.4239, 0.2715)
S (0.2655, 0.2655, 0.7237)
S (0.4239, 0.1142, 0.2715)
S (0.5761, 0.8858, 0.7285)
S (0.7345, 0.7345, 0.2763)
S (0.8858, 0.5761, 0.7285)

Entry 8:
NaLa2ScS4 | GGA-PBE | optimized geometry

total DFT energy (no corrections)	-6.1383	eV/atom
ΔE_f (raw)	-15.09	eV per formula unit

abc: 6.8304 4.0242 7.0334
angles: 90.00 109.62 90.00
Atoms (fractional coordinates):
Na (0.0000, 0.0000, 0.0000)
La (0.5000, 0.0000, 0.5000)
La (0.5000, 0.5000, 0.0000)
Sc (0.0000, 0.5000, 0.5000)
S (0.2247, 0.0000, 0.7330)
S (0.2330, 0.5000, 0.2569)
S (0.7670, 0.5000, 0.7431)
S (0.7753, 0.0000, 0.2670)

Which of these has the highest total DFT energy (no corrections)? NaLaS14

The highest ΔE_f (raw) belongs to which entry? NaLaS3

Which value of ΔE_f (raw) does entry 7 give? -21.55 eV per formula unit

The highest ΔE_f (raw) belongs to which entry? NaLaS3